Entry 1:
Below is a geometry-optimized LaCdSe2 structure, with properties calculated at the PBE level.

Space group: R-3m
VASP energy: -4.339 eV per atom
Energy relative to the elements, uncorrected: -1.14 eV per atom

a = 4.4152 Å, b = 4.4152 Å, c = 25.8678 Å
α = 90.00°, β = 90.00°, γ = 120.00°
With the nearest neighbours (Å) after each atom.
Sites, in units of the cell vectors:
La 0.0000 0.0000 0.0000  6 Se 3.02
La 0.3333 0.6667 0.6667  6 Se 3.02
La 0.6667 0.3333 0.3333  6 Se 3.02
Cd 0.0000 0.0000 0.5000  2 Se 2.70
Cd 0.3333 0.6667 0.1667  2 Se 2.70
Cd 0.6667 0.3333 0.8333  2 Se 2.70
Se 0.0000 0.0000 0.3956  1 Cd 2.70, 3 La 3.02
Se 0.0000 0.0000 0.6044  1 Cd 2.70, 3 La 3.02
Se 0.3333 0.6667 0.0623  1 Cd 2.70, 3 La 3.02
Se 0.3333 0.6667 0.2711  1 Cd 2.70, 3 La 3.02
Se 0.6667 0.3333 0.7289  1 Cd 2.70, 3 La 3.02
Se 0.6667 0.3333 0.9377  1 Cd 2.70, 3 La 3.02

---

Entry 2:
Below is a geometry-optimized La4CdSe structure, with properties calculated at the PBE level.

Space group: F-43m
VASP energy: -3.988 eV per atom
Energy relative to the elements, uncorrected: 0.03 eV per atom

a = 6.4349 Å, b = 6.4349 Å, c = 6.4349 Å
α = 60.00°, β = 60.00°, γ = 60.00°
With the nearest neighbours (Å) after each atom.
Sites, in units of the cell vectors:
La 0.1253 0.1253 0.1253  6 La 3.21-3.22
La 0.1253 0.1253 0.6242  6 La 3.21-3.22
La 0.1253 0.6242 0.1253  6 La 3.21-3.22
La 0.6242 0.1253 0.1253  6 La 3.21-3.22
Cd 0.5000 0.5000 0.5000  12 La 3.77, 4 Se 3.94
Se 0.7500 0.7500 0.7500  12 La 3.77, 4 Cd 3.94

---

Entry 3:
Below is a geometry-optimized LaCdSe2 structure, with properties calculated at the PBE level.

Space group: P2/m
VASP energy: -4.349 eV per atom
Energy relative to the elements, uncorrected: -1.15 eV per atom

a = 3.8707 Å, b = 3.8167 Å, c = 7.4850 Å
α = 90.00°, β = 90.32°, γ = 90.00°
With the nearest neighbours (Å) after each atom.
Sites, in units of the cell vectors:
La 0.0000 0.0000 0.0000  8 Se 3.16-3.17
Cd 0.5000 0.0000 0.5000  4 Se 2.85
Se 0.4983 0.5000 0.7835  2 Cd 2.85, 4 La 3.16-3.17
Se 0.5017 0.5000 0.2165  2 Cd 2.85, 4 La 3.16-3.17

---

Entry 4:
Below is a geometry-optimized La3CdSe structure, with properties calculated at the PBE level.

Distance to the lowest polymorph of the same formula: 0.0000 eV/atom
Space group: Pm-3m
VASP energy: -4.463 eV per atom
Energy relative to the elements, uncorrected: -0.63 eV per atom

a = 5.6822 Å, b = 5.6822 Å, c = 5.6822 Å
α = 90.00°, β = 90.00°, γ = 90.00°
With the nearest neighbours (Å) after each atom.
Sites, in units of the cell vectors:
La 0.0000 0.0000 0.5000  2 Se 2.84
La 0.0000 0.5000 0.0000  2 Se 2.84
La 0.5000 0.0000 0.0000  2 Se 2.84
Cd 0.5000 0.5000 0.5000  12 La 4.02
Se 0.0000 0.0000 0.0000  6 La 2.84

---

Entry 5:
Below is a geometry-optimized LaCdSe2 structure, with properties calculated at the PBE level.

Space group: Cmmm
VASP energy: -4.410 eV per atom
Energy relative to the elements, uncorrected: -1.21 eV per atom

a = 7.1228 Å, b = 7.1305 Å, c = 3.7920 Å
α = 90.00°, β = 90.00°, γ = 90.00°
With the nearest neighbours (Å) after each atom.
Sites, in units of the cell vectors:
La 0.0000 0.0000 0.0000  8 Se 3.15
La 0.5000 0.5000 0.0000  8 Se 3.15
Cd 0.0000 0.5000 0.0000  8 Se 3.15
Cd 0.5000 0.0000 0.0000  8 Se 3.15
Se 0.2500 0.2500 0.5000  4 La 3.15, 4 Cd 3.15
Se 0.2500 0.7500 0.5000  4 Cd 3.15, 4 La 3.15
Se 0.7500 0.2500 0.5000  4 Cd 3.15, 4 La 3.15
Se 0.7500 0.7500 0.5000  4 Cd 3.15, 4 La 3.15

---

Entry 6:
Below is a geometry-optimized La2SmCdSe5 structure, with properties calculated at the PBE level.

Space group: Cmc2_1
VASP energy: -5.294 eV per atom
Energy relative to the elements, uncorrected: -1.64 eV per atom

a = 9.2284 Å, b = 9.2284 Å, c = 12.8171 Å
α = 90.00°, β = 90.00°, γ = 153.72°
With the nearest neighbours (Å) after each atom.
Sites, in units of the cell vectors:
La 0.1160 0.8840 0.5000  8 Se 3.10-3.24
La 0.1328 0.8672 0.1221  8 Se 3.08-3.36
La 0.8672 0.1328 0.6221  8 Se 3.08-3.36
La 0.8840 0.1160 0.0000  8 Se 3.10-3.24
Sm 0.2020 0.7980 0.8242  6 Se 2.88-2.95
Sm 0.7980 0.2020 0.3242  6 Se 2.88-2.95
Cd 0.4579 0.5421 0.2700  3 Se 2.57-2.60
Cd 0.5421 0.4579 0.7700  3 Se 2.57-2.60
Se 0.0460 0.9540 0.8897  2 Cd 2.60
Se 0.2882 0.7118 0.4847  2 Sm 2.94, 3 La 3.08-3.10
Se 0.3127 0.6873 0.1632  1 Cd 2.95, 2 Sm 2.95, 3 La 3.23-3.28
Se 0.3621 0.6379 0.8156  1 Sm 2.88, 2 La 3.18
Se 0.4936 0.5064 0.5812  1 Cd 2.57
Se 0.5064 0.4936 0.0812  1 Cd 2.57
Se 0.6379 0.3621 0.3156  1 Sm 2.88, 2 La 3.18
Se 0.6873 0.3127 0.6632  1 Cd 2.95, 2 Sm 2.95, 3 La 3.23-3.28
Se 0.7118 0.2882 0.9847  2 Sm 2.94, 3 La 3.08-3.10
Se 0.9540 0.0460 0.3897  2 Cd 2.60

---

Entry 7:
Below is a geometry-optimized La2CdSnSe5 structure, with properties calculated at the PBE level.

Space group: Cmc2_1
VASP energy: -4.884 eV per atom
Energy relative to the elements, uncorrected: -1.31 eV per atom

a = 9.2600 Å, b = 9.2600 Å, c = 12.6835 Å
α = 90.00°, β = 90.00°, γ = 153.29°
With the nearest neighbours (Å) after each atom.
Sites, in units of the cell vectors:
La 0.1134 0.8866 0.5000  8 Se 3.11-3.22
La 0.1304 0.8696 0.1160  8 Se 3.10-3.31
La 0.8696 0.1304 0.6160  8 Se 3.10-3.31
La 0.8866 0.1134 0.0000  8 Se 3.11-3.22
Cd 0.4486 0.5514 0.2764  4 Se 2.61-2.92
Cd 0.5514 0.4486 0.7764  4 Se 2.61-2.92
Sn 0.2070 0.7930 0.8231  6 Se 2.86-3.07
Sn 0.7930 0.2070 0.3231  6 Se 2.86-3.07
Se 0.0440 0.9560 0.8946  2 Cd 2.62
Se 0.2857 0.7143 0.4858  2 Sn 2.97, 3 La 3.10-3.11
Se 0.3122 0.6878 0.1518  1 Cd 2.92, 2 Sn 3.07, 2 La 3.18
Se 0.3654 0.6346 0.8123  1 Sn 2.86
Se 0.4952 0.5048 0.5866  1 Cd 2.61
Se 0.5048 0.4952 0.0866  1 Cd 2.61
Se 0.6346 0.3654 0.3123  1 Sn 2.86
Se 0.6878 0.3122 0.6518  1 Cd 2.92, 2 Sn 3.07, 2 La 3.18
Se 0.7143 0.2857 0.9858  2 Sn 2.97, 3 La 3.10-3.11
Se 0.9560 0.0440 0.3946  2 Cd 2.62

---

Entry 8:
Below is a geometry-optimized La2TmCdSe5 structure, with properties calculated at the PBE level.

Space group: Cmc2_1
VASP energy: -5.260 eV per atom
Energy relative to the elements, uncorrected: -1.63 eV per atom

a = 9.1647 Å, b = 9.1647 Å, c = 12.7904 Å
α = 90.00°, β = 90.00°, γ = 153.86°
With the nearest neighbours (Å) after each atom.
Sites, in units of the cell vectors:
La 0.1154 0.8846 0.5000  8 Se 3.07-3.32
La 0.1338 0.8662 0.1249  8 Se 3.11-3.35
La 0.8662 0.1338 0.6249  8 Se 3.11-3.35
La 0.8846 0.1154 0.0000  8 Se 3.07-3.32
Tm 0.2033 0.7967 0.8285  6 Se 2.80-2.88
Tm 0.7967 0.2033 0.3285  6 Se 2.80-2.88
Cd 0.4564 0.5436 0.2696  3 Se 2.56-2.59
Cd 0.5436 0.4564 0.7696  3 Se 2.56-2.59
Se 0.0503 0.9497 0.8901  2 Cd 2.59, 1 Tm 2.84
Se 0.2866 0.7134 0.4813  2 Tm 2.85, 3 La 3.07-3.11
Se 0.3092 0.6908 0.1730  2 Tm 2.88, 1 Cd 2.90, 1 La 3.19
Se 0.3597 0.6403 0.8170  1 Tm 2.80
Se 0.4936 0.5064 0.5822  1 Cd 2.56
Se 0.5064 0.4936 0.0822  1 Cd 2.56
Se 0.6403 0.3597 0.3170  1 Tm 2.80
Se 0.6908 0.3092 0.6730  2 Tm 2.88, 1 Cd 2.90, 1 La 3.19
Se 0.7134 0.2866 0.9813  2 Tm 2.85, 3 La 3.07-3.11
Se 0.9497 0.0503 0.3901  2 Cd 2.59, 1 Tm 2.84

---

Entry 9:
Below is a geometry-optimized LaCdSi2 structure, with properties calculated at the PBE level.

Space group: R-3m
VASP energy: -3.903 eV per atom
Energy relative to the elements, uncorrected: 0.27 eV per atom

a = 3.3460 Å, b = 3.3460 Å, c = 28.0062 Å
α = 90.00°, β = 90.00°, γ = 120.00°
With the nearest neighbours (Å) after each atom.
Sites, in units of the cell vectors:
La 0.0000 0.0000 0.0000  6 Si 3.17, 6 La 3.35
La 0.3333 0.6667 0.6667  6 Si 3.17, 6 La 3.35
La 0.6667 0.3333 0.3333  6 Si 3.17, 6 La 3.35
Cd 0.0000 0.0000 0.5000  6 Si 2.89
Cd 0.3333 0.6667 0.1667  6 Si 2.89
Cd 0.6667 0.3333 0.8333  6 Si 2.89
Si 0.0000 0.0000 0.2434  3 Cd 2.89, 3 La 3.17
Si 0.0000 0.0000 0.7566  3 Cd 2.89, 3 La 3.17
Si 0.3333 0.6667 0.4233  3 Cd 2.89, 3 La 3.17
Si 0.3333 0.6667 0.9101  3 Cd 2.89, 3 La 3.17
Si 0.6667 0.3333 0.0899  3 Cd 2.89, 3 La 3.17
Si 0.6667 0.3333 0.5767  3 Cd 2.89, 3 La 3.17

---

Entry 10:
Below is a geometry-optimized LaCdSi3 structure, with properties calculated at the PBE level.

Distance to the lowest polymorph of the same formula: 0.0000 eV/atom
Space group: Pm-3m
VASP energy: -3.860 eV per atom
Energy relative to the elements, uncorrected: 0.56 eV per atom

a = 5.0122 Å, b = 5.0122 Å, c = 5.0122 Å
α = 90.00°, β = 90.00°, γ = 90.00°
With the nearest neighbours (Å) after each atom.
Sites, in units of the cell vectors:
La 0.0000 0.0000 0.0000  12 Si 3.54
Cd 0.5000 0.5000 0.5000  6 Si 2.51
Si 0.0000 0.5000 0.5000  2 Cd 2.51
Si 0.5000 0.0000 0.5000  2 Cd 2.51
Si 0.5000 0.5000 0.0000  2 Cd 2.51

---

Entry 11:
Below is a geometry-optimized La12CdSi5 structure, with properties calculated at the PBE level.

Space group: Immm
VASP energy: -5.302 eV per atom
Energy relative to the elements, uncorrected: -0.46 eV per atom

a = 8.9367 Å, b = 8.9367 Å, c = 8.9367 Å
α = 111.68°, β = 110.00°, γ = 106.77°
With the nearest neighbours (Å) after each atom.
Sites, in units of the cell vectors:
La 0.0342 0.2349 0.7993  2 Si 3.10-3.24
La 0.1765 0.2657 0.4422  4 Si 3.20-3.38
La 0.1765 0.7343 0.9108  4 Si 3.20-3.38
La 0.3204 0.0265 0.7061  3 Si 3.03-3.08
La 0.3204 0.6143 0.2939  3 Si 3.03-3.08
La 0.4357 0.2349 0.2007  2 Si 3.10-3.24
La 0.5643 0.7651 0.7993  2 Si 3.10-3.24
La 0.6796 0.3857 0.7061  3 Si 3.03-3.08
La 0.6796 0.9735 0.2939  3 Si 3.03-3.08
La 0.8235 0.2657 0.0892  4 Si 3.20-3.38
La 0.8235 0.7343 0.5578  4 Si 3.20-3.38
La 0.9658 0.7651 0.2007  2 Si 3.10-3.24
Cd 0.5000 0.5000 0.0000  8 La 3.50-3.52
Si 0.0000 0.0000 0.0000  8 La 3.22-3.24
Si 0.1122 0.6122 0.5000  1 Si 2.39
Si 0.3788 0.0000 0.3788  1 Si 2.49
Si 0.6212 0.0000 0.6212  1 Si 2.49
Si 0.8878 0.3878 0.5000  1 Si 2.39

---

Entry 12:
Below is a geometry-optimized LaCdSi3 structure, with properties calculated at the PBE level.

Distance to the lowest polymorph of the same formula: 0.7217 eV/atom
Space group: Pm-3m
VASP energy: -3.138 eV per atom
Energy relative to the elements, uncorrected: 1.28 eV per atom

a = 5.5785 Å, b = 5.5785 Å, c = 5.5785 Å
α = 90.00°, β = 90.00°, γ = 90.00°
With the nearest neighbours (Å) after each atom.
Sites, in units of the cell vectors:
La 0.0000 0.0000 0.0000  6 Si 2.79
Cd 0.5000 0.5000 0.5000  12 Si 3.94
Si 0.0000 0.0000 0.5000  2 La 2.79
Si 0.0000 0.5000 0.0000  2 La 2.79
Si 0.5000 0.0000 0.0000  2 La 2.79